# 1
A plane-wave DFT calculation with GGA-PBEsol was carried out for a relaxed structure of MnPbS2O8.

abc: 6.733 6.733 13.746
angles: 90.00 90.00 90.00
Site moments in Bohr magnetons follow the coordinates.
Element x y z (fractional)
O 0.860 0.513 0.004  0.03
O 0.360 0.987 0.246  0.03
O 0.291 0.614 0.923  0.01
O 0.614 0.291 0.077  0.01
O 0.013 0.640 0.254  0.03
O 0.840 0.109 0.515  0.02
O 0.386 0.709 0.577  0.01
O 0.987 0.360 0.754  0.03
O 0.891 0.160 0.985  0.02
O 0.513 0.860 0.996  0.03
O 0.829 0.881 0.153  0.02
O 0.886 0.791 0.673  0.01
O 0.671 0.381 0.597  0.02
O 0.391 0.340 0.265  0.02
O 0.171 0.119 0.653  0.02
O 0.109 0.840 0.485  0.02
O 0.160 0.891 0.015  0.02
O 0.140 0.487 0.504  0.03
O 0.487 0.140 0.496  0.03
O 0.209 0.114 0.827  0.01
O 0.881 0.829 0.847  0.02
O 0.709 0.386 0.423  0.01
O 0.791 0.886 0.327  0.01
O 0.329 0.619 0.097  0.02
O 0.609 0.660 0.765  0.02
O 0.619 0.329 0.903  0.02
O 0.114 0.209 0.173  0.01
O 0.640 0.013 0.746  0.03
O 0.340 0.391 0.735  0.02
O 0.660 0.609 0.235  0.02
O 0.119 0.171 0.347  0.02
O 0.381 0.671 0.403  0.02
S 0.246 0.173 0.258  0.01
S 0.673 0.254 0.508  0.01
S 0.327 0.746 0.008  0.01
S 0.754 0.827 0.758  0.01
S 0.173 0.246 0.742  0.01
S 0.746 0.327 0.992  0.01
S 0.254 0.673 0.492  0.01
S 0.827 0.754 0.242  0.01
Mn 0.665 0.335 0.750  4.53
Mn 0.165 0.165 0.500  4.53
Mn 0.835 0.835 0.000  4.53
Mn 0.335 0.665 0.250  4.53
Pb 0.753 0.247 0.250  0.01
Pb 0.253 0.253 0.000  0.01
Pb 0.247 0.753 0.750  0.01
Pb 0.747 0.747 0.500  0.01

Results
final energy: -327.80 eV for the cell shown
magnetic moment: 20.0 Bohr magnetons per cell
Fermi-level density of states: 0.000 states/eV/cell
SG: P4_32_12, No. 96

---

# 2
A plane-wave DFT calculation with GGA-PBEsol was carried out for a relaxed structure of GaTcCl3.

abc: 4.784 4.784 4.784
angles: 90.00 90.00 90.00
Site moments in Bohr magnetons follow the coordinates.
Element x y z (fractional)
Cl 0.500 0.000 0.000  0.05
Cl 0.000 0.500 0.000  0.05
Cl 0.000 0.000 0.500  0.05
Ga 0.500 0.500 0.500  0.01
Tc 0.000 0.000 0.000  2.00

Results
final energy: -21.76 eV for the cell shown
magnetic moment: 2.4 Bohr magnetons per cell
Fermi-level density of states: 2.359 states/eV/cell
SG: Pm-3m, No. 221

---

# 3
A plane-wave DFT calculation with GGA-PBEsol was carried out for a relaxed structure of TlRe2AsIr.

abc: 4.463 4.463 4.972
angles: 90.00 90.00 90.00
Element x y z (fractional)
Re 0.500 0.000 0.000
Re 0.000 0.500 0.000
Tl 0.000 0.000 0.500
Ir 0.500 0.500 0.500
As 0.000 0.000 0.000

Results
final energy: -33.77 eV for the cell shown
formation energy: 2.09 eV/atom
magnetic moment: 0.0 Bohr magnetons per cell
Fermi-level density of states: 7.236 states/eV/cell
SG: P4/mmm, No. 123

---

# 4
A plane-wave DFT calculation with GGA-PBEsol was carried out for a relaxed structure of RbMnPS2.

abc: 5.159 5.264 5.264
angles: 90.00 90.00 90.00
Site moments in Bohr magnetons follow the coordinates.
Element x y z (fractional)
S 0.000 0.500 0.000  0.02
S 0.000 0.000 0.500  0.02
Rb 0.000 0.000 0.000  0.02
Mn 0.500 0.500 0.500  4.56
P 0.500 0.000 0.000  -0.07

Results
final energy: -16.34 eV for the cell shown
magnetic moment: 4.9 Bohr magnetons per cell
Fermi-level density of states: 5.439 states/eV/cell
SG: P4/mmm, No. 123

---

# 5
A plane-wave DFT calculation with GGA-PBEsol was carried out for a relaxed structure of MgWF5.

abc: 5.016 7.372 10.438
angles: 90.00 90.00 108.89
Site moments in Bohr magnetons follow the coordinates.
Element x y z (fractional)
W 0.896 0.128 0.255  2.33
W 0.896 0.628 0.245  2.33
W 0.104 0.372 0.755  2.33
W 0.104 0.872 0.745  2.33
F 0.229 0.676 0.367  0.04
F 0.350 0.487 0.597  0.03
F 0.771 0.824 0.867  0.04
F 0.350 0.987 0.903  0.03
F 0.650 0.513 0.403  0.03
F 0.135 0.734 0.091  0.05
F 0.861 0.367 0.156  0.04
F 0.582 0.599 0.112  0.04
F 0.865 0.766 0.591  0.05
F 0.865 0.266 0.909  0.05
F 0.139 0.133 0.656  0.04
F 0.582 0.099 0.388  0.04
F 0.418 0.901 0.612  0.04
F 0.771 0.324 0.633  0.04
F 0.861 0.867 0.344  0.04
F 0.139 0.633 0.844  0.04
F 0.650 0.013 0.097  0.03
F 0.418 0.401 0.888  0.04
F 0.229 0.176 0.133  0.04
F 0.135 0.234 0.409  0.05
Mg 0.524 0.228 0.007  0.00
Mg 0.524 0.728 0.493  0.00
Mg 0.476 0.772 0.993  0.00
Mg 0.476 0.272 0.507  0.00

Results
final energy: -170.36 eV for the cell shown
magnetic moment: 12.0 Bohr magnetons per cell
energy relative to the lowest polymorph listed for this composition: 13 meV per atom
SG: P2_1/c, No. 14

---

# 6
A plane-wave DFT calculation with GGA-PBEsol was carried out for a relaxed structure of Be4SiTc.

abc: 4.266 4.266 4.266
angles: 60.00 60.00 60.00
Element x y z (fractional)
Be 0.627 0.627 0.627
Be 0.120 0.627 0.627
Be 0.627 0.627 0.120
Be 0.627 0.120 0.627
Si 0.250 0.250 0.250
Tc 0.000 0.000 0.000

Results
final energy: -34.53 eV for the cell shown
magnetic moment: 0.0 Bohr magnetons per cell
Fermi-level density of states: 2.690 states/eV/cell
SG: F-43m, No. 216

---

# 7
A plane-wave DFT calculation with GGA-PBEsol was carried out for a relaxed structure of Cr2ReW.

abc: 2.975 4.206 4.206
angles: 90.00 90.00 90.00
Element x y z (fractional)
Cr 0.000 0.500 0.000
Cr 0.000 0.000 0.500
Re 0.500 0.500 0.500
W 0.500 0.000 0.000

Results
final energy: -47.46 eV for the cell shown
formation energy: 0.04 eV/atom
magnetic moment: 0.0 Bohr magnetons per cell
Fermi-level density of states: 3.220 states/eV/cell
SG: P4/mmm, No. 123

---

# 8
A plane-wave DFT calculation with GGA-PBEsol was carried out for a relaxed structure of Ti2BeH.

abc: 3.967 3.967 3.967
angles: 60.00 60.00 60.00
Element x y z (fractional)
H 0.000 0.000 0.000
Be 0.500 0.500 0.500
Ti 0.250 0.250 0.250
Ti 0.750 0.750 0.750

Results
final energy: -23.39 eV for the cell shown
magnetic moment: 0.0 Bohr magnetons per cell
Fermi-level density of states: 2.285 states/eV/cell
SG: Fm-3m, No. 225

---

Question: The highest magnetic moment belongs to which entry?
Answer: MnPbS2O8